Pu2Sb2F: optimized geometry, GGA-PBE.

Unit cell a=7.9838 b=7.9838 c=7.7608 alpha=90.00 beta=90.00 gamma=147.26
Last column: nearest neighbours and their distance in Å.
Fractional positions:
Pu (0.0462, 0.9538, 0.5000)  2 F 2.56-2.59
Pu (0.3408, 0.6592, 0.3590)  2 F 2.48
Pu (0.6592, 0.3408, 0.8590)  2 F 2.48
Pu (0.9538, 0.0462, 0.0000)  2 F 2.56-2.59
Sb (0.3041, 0.6959, 0.9609)  1 Sb 2.92, 5 Pu 3.14-3.26
Sb (0.4445, 0.5555, 0.7069)  1 Sb 2.92, 5 Pu 3.13-3.20
Sb (0.5555, 0.4445, 0.2069)  1 Sb 2.92, 5 Pu 3.13-3.20
Sb (0.6959, 0.3041, 0.4609)  1 Sb 2.92, 5 Pu 3.14-3.26
F (0.0948, 0.9052, 0.8157)  4 Pu 2.48-2.59
F (0.9052, 0.0948, 0.3157)  4 Pu 2.48-2.59

Summary:
ΔE_f (raw)   -1.272 eV per atom
Size of the total moment   22.02 μB per cell